Entry 1:
This record from Alexandria via LeMat-Bulk describes a relaxed NaTl2ZnCu crystal. The functional is GGA-PBE.

Cell: 5.270 5.270 4.797 Å, 90.00 90.00 90.00°
Space group P4/mmm (No. 123)
Symmetry-distinct sites (fractional):
1 Na 0.000 0.000 0.000 (multiplicity 1)
2 Tl 0.000 0.500 0.500 (multiplicity 2)
3 Zn 0.500 0.500 0.000 (multiplicity 1)
4 Cu 0.500 0.500 0.500 (multiplicity 1)

Computed properties:
Total energy = -2.15 eV per atom
Formation energy = 0.68 eV per formula unit

---

Entry 2:
This record from Alexandria via LeMat-Bulk describes a relaxed MgMnPd5 crystal. The functional is GGA-PBE.

Cell: 7.132 8.822 4.896 Å, 90.00 90.00 90.00°
Space group Imm2 (No. 44)
Symmetry-distinct sites (fractional):
1 Mg 0.000 0.000 0.000 (multiplicity 2)
2 Mn 0.000 0.500 0.218 (multiplicity 2)
3 Pd 0.000 0.249 0.422 (multiplicity 4)
4 Pd 0.000 0.500 0.714 (multiplicity 2)
5 Pd 0.189 0.000 0.509 (multiplicity 4)

Computed properties:
Total energy = -4.82 eV per atom
Formation energy = 2.96 eV per formula unit
Excess energy over the best structure of this formula in the dataset = 637 meV per atom

---

Entry 3:
This record from Alexandria via LeMat-Bulk describes a relaxed AcSmY4 crystal. The functional is GGA-PBE.

Cell: 10.973 6.333 12.389 Å, 90.00 107.10 90.00°
Space group C2/c (No. 15)
Symmetry-distinct sites (fractional):
1 Ac 0.250 0.250 0.000 (multiplicity 4)
2 Sm 0.000 0.079 0.750 (multiplicity 4)
3 Y 0.084 0.251 0.502 (multiplicity 8)
4 Y 0.165 0.415 0.250 (multiplicity 8)

Computed properties:
Total energy = -5.76 eV per atom
Formation energy = 0.15 eV per formula unit
Excess energy over the best structure of this formula in the dataset = 0 meV per atom

---

Q: Which value of total energy does entry 2 give?
A: -4.82 eV per atom

---

Q: Which formula does entry 3 have?
A: AcSmY4

---

Q: total energy of number 2 (MgMnPd5)?
A: -4.82 eV per atom